Record 1
A relaxed BaVCo2Pt crystal. Source: the Alexandria database, functional PBE.

The value obtained for the density is 8.3 g/cm3. The density of states at the Fermi level comes out at 4.70 states/eV per cell. The energy of formation from the pure elements comes out at 0.448 eV per atom. The value obtained for the spin magnetization is 0.5 μB per formula unit. For the final energy, the calculation gives -5.811 eV/atom.

It has space group P4/mmm (No. 123), with a = 4.497 Å, b = 4.497 Å, c = 4.967 Å, α = 90.00°, β = 90.00° and γ = 90.00°. The distinct sites, in fractional coordinates, are Ba at (0.000, 0.000, 0.000), V at (0.500, 0.500, 0.500), Co at (0.000, 0.500, 0.500) and Pt at (0.500, 0.500, 0.000).

Record 2
A relaxed BaYCoPt2 crystal. Source: the Alexandria database, functional PBE.

The value obtained for the density is 8.1 g/cm3. The density of states at the Fermi level comes out at 4.49 states/eV per cell. The energy of formation from the pure elements comes out at 1.060 eV per atom. The value obtained for the spin magnetization is 1.1 μB per formula unit. For the final energy, the calculation gives -4.455 eV/atom.

It has space group P4/mmm (No. 123), with a = 5.415 Å, b = 5.415 Å, c = 4.744 Å, α = 90.00°, β = 90.00° and γ = 90.00°. The distinct sites, in fractional coordinates, are Ba at (0.000, 0.000, 0.000), Y at (0.500, 0.500, 0.500), Co at (0.000, 0.000, 0.500) and Pt at (0.000, 0.500, 0.000).

Record 3
A relaxed BaPu4Co3S12 crystal. Source: the Alexandria database, functional PBE.

The value obtained for the density is 6.2 g/cm3. Its uncorrected formation energy is -0.95 eV/atom. The density of states at the Fermi level comes out at 67.90 states/eV per cell. The value obtained for the spin magnetization is 19.0 μB per formula unit. For the final energy, the calculation gives -7.450 eV/atom.

It has space group Im-3 (No. 204), with a = 9.650 Å, b = 9.650 Å, c = 9.650 Å, α = 90.00°, β = 90.00° and γ = 90.00°. The distinct sites, in fractional coordinates, are Ba at (0.000, 0.000, 0.000), Pu at (0.250, 0.250, 0.250), Co at (0.000, 0.000, 0.500) and S at (0.000, 0.327, 0.158).

Record 4
A relaxed BaPuCoS4 crystal. Source: the Alexandria database, functional PBE.

The value obtained for the density is 5.9 g/cm3. Its uncorrected formation energy is -1.29 eV/atom. The density of states at the Fermi level comes out at 18.38 states/eV per cell. The value obtained for the spin magnetization is 2.2 μB per formula unit. For the final energy, the calculation gives -6.986 eV/atom.

It has space group P2_1/m (No. 11), with a = 6.623 Å, b = 5.866 Å, c = 8.564 Å, α = 90.00°, β = 106.62° and γ = 90.00°. The distinct sites, in fractional coordinates, are Ba at (0.237, 0.250, 0.438), Pu at (0.247, 0.250, 0.946), Co at (0.270, 0.750, 0.170), S at (0.068, 0.750, 0.340), S at (0.077, 0.750, 0.917) and S at (0.485, 0.511, 0.780).

Record 5
A relaxed RbBa3Co crystal. Source: the Alexandria database, functional PBE.

The value obtained for the density is 3.7 g/cm3. The density of states at the Fermi level comes out at 5.05 states/eV per cell. The energy of formation from the pure elements comes out at 0.289 eV per atom. The value obtained for the spin magnetization is 0.0 μB per formula unit. For the final energy, the calculation gives -2.480 eV/atom.

It has space group Pm-3m (No. 221), with a = 6.321 Å, b = 6.321 Å, c = 6.321 Å, α = 90.00°, β = 90.00° and γ = 90.00°. The distinct sites, in fractional coordinates, are Rb at (0.000, 0.000, 0.000), Ba at (0.000, 0.500, 0.500) and Co at (0.500, 0.500, 0.500).

Record 6
A relaxed RbBaCo3 crystal. Source: the Alexandria database, functional PBE.

The value obtained for the density is 3.3 g/cm3. The density of states at the Fermi level comes out at 5.83 states/eV per cell. The energy of formation from the pure elements comes out at 1.869 eV per atom. The value obtained for the spin magnetization is 6.0 μB per formula unit. For the final energy, the calculation gives -2.972 eV/atom.

It has space group Pm-3m (No. 221), with a = 5.833 Å, b = 5.833 Å, c = 5.833 Å, α = 90.00°, β = 90.00° and γ = 90.00°. The distinct sites, in fractional coordinates, are Rb at (0.000, 0.000, 0.000), Ba at (0.500, 0.500, 0.500) and Co at (0.000, 0.500, 0.500).

Record 7
A relaxed RbBaCo3 crystal. Source: the Alexandria database, functional PBE.

The value obtained for the density is 3.9 g/cm3. The density of states at the Fermi level comes out at 3.45 states/eV per cell. The energy of formation from the pure elements comes out at 1.982 eV per atom. The value obtained for the spin magnetization is 6.1 μB per formula unit. For the final energy, the calculation gives -2.860 eV/atom.

It has space group Pm-3m (No. 221), with a = 5.565 Å, b = 5.565 Å, c = 5.565 Å, α = 90.00°, β = 90.00° and γ = 90.00°. The distinct sites, in fractional coordinates, are Rb at (0.000, 0.000, 0.000), Ba at (0.500, 0.500, 0.500) and Co at (0.000, 0.000, 0.500).

Record 8
A relaxed RbBa3Co crystal. Source: the Alexandria database, functional PBE.

The value obtained for the density is 3.1 g/cm3. The density of states at the Fermi level comes out at 22.16 states/eV per cell. The energy of formation from the pure elements comes out at 1.422 eV per atom. The value obtained for the spin magnetization is 2.7 μB per formula unit. For the final energy, the calculation gives -1.346 eV/atom.

It has space group Pm-3m (No. 221), with a = 6.662 Å, b = 6.662 Å, c = 6.662 Å, α = 90.00°, β = 90.00° and γ = 90.00°. The distinct sites, in fractional coordinates, are Rb at (0.000, 0.000, 0.000), Ba at (0.000, 0.000, 0.500) and Co at (0.500, 0.500, 0.500).

Record 9
A relaxed RbBaCoTe2 crystal. Source: the Alexandria database, functional PBE.

The value obtained for the density is 5.5 g/cm3. Its uncorrected formation energy is -0.35 eV/atom. The density of states at the Fermi level comes out at 4.36 states/eV per cell. The value obtained for the spin magnetization is 1.5 μB per formula unit. For the final energy, the calculation gives -3.609 eV/atom.

It has space group P4/mmm (No. 123), with a = 5.605 Å, b = 5.605 Å, c = 5.129 Å, α = 90.00°, β = 90.00° and γ = 90.00°. The distinct sites, in fractional coordinates, are Rb at (0.000, 0.000, 0.000), Ba at (0.500, 0.500, 0.000), Co at (0.000, 0.000, 0.500) and Te at (0.000, 0.500, 0.500).

Record 10
A relaxed BaCoRe crystal. Source: the Alexandria database, functional PBE.

The value obtained for the density is 6.6 g/cm3. The density of states at the Fermi level comes out at 5.96 states/eV per cell. The energy of formation from the pure elements comes out at 0.400 eV per atom. The value obtained for the spin magnetization is 0.0 μB per formula unit. For the final energy, the calculation gives -6.759 eV/atom.

It has space group P1 (No. 1), with a = 4.715 Å, b = 4.718 Å, c = 9.881 Å, α = 90.63°, β = 96.59° and γ = 118.26°. The distinct sites, in fractional coordinates, are Ba at (0.000, 0.000, 0.000), Ba at (0.196, 0.579, 0.570), Co at (0.331, 0.386, 0.296), Co at (0.354, 0.897, 0.271), Re at (0.828, 0.402, 0.231) and Re at (0.859, 0.895, 0.339).

Record 11
A relaxed Ba2CoRe crystal. Source: the Alexandria database, functional PBE.

The value obtained for the density is 7.5 g/cm3. The density of states at the Fermi level comes out at 5.93 states/eV per cell. The energy of formation from the pure elements comes out at 0.703 eV per atom. The value obtained for the spin magnetization is 0.0 μB per formula unit. For the final energy, the calculation gives -5.147 eV/atom.

It has space group P4mm (No. 99), with a = 3.443 Å, b = 3.443 Å, c = 9.673 Å, α = 90.00°, β = 90.00° and γ = 90.00°. The distinct sites, in fractional coordinates, are Ba at (0.000, 0.000, 0.000), Ba at (0.500, 0.500, 0.423), Co at (0.000, 0.000, 0.686) and Re at (0.500, 0.500, 0.732).

Record 12
A relaxed BaCoRe crystal. Source: the Alexandria database, functional PBE.

The value obtained for the density is 9.5 g/cm3. The density of states at the Fermi level comes out at 7.66 states/eV per cell. The energy of formation from the pure elements comes out at 0.465 eV per atom. The value obtained for the spin magnetization is 1.1 μB per formula unit. For the final energy, the calculation gives -6.694 eV/atom.

It has space group Cm (No. 8), with a = 12.269 Å, b = 4.261 Å, c = 5.119 Å, α = 90.00°, β = 91.44° and γ = 90.00°. The distinct sites, in fractional coordinates, are Ba at (0.000, 0.000, 0.000), Ba at (0.074, 0.500, 0.502), Co at (0.287, 0.000, 0.265), Co at (0.320, 0.500, 0.490), Re at (0.251, 0.500, 0.017) and Re at (0.285, 0.000, 0.750).

Record 13
A relaxed BaCoRe crystal. Source: the Alexandria database, functional PBE.

The value obtained for the density is 9.5 g/cm3. The density of states at the Fermi level comes out at 10.88 states/eV per cell. The energy of formation from the pure elements comes out at 0.431 eV per atom. The value obtained for the spin magnetization is 0.0 μB per formula unit. For the final energy, the calculation gives -6.728 eV/atom.

It has space group Cmcm (No. 63), with a = 4.252 Å, b = 12.386 Å, c = 5.062 Å, α = 90.00°, β = 90.00° and γ = 90.00°. The distinct sites, in fractional coordinates, are Ba at (0.000, 0.204, 0.250), Co at (0.000, 0.040, 0.750) and Re at (0.000, 0.500, 0.000).